# TaNb2Tl2Se6, relaxed, DFT PBE-GGA
data_TaNb2Tl2Se6
_symmetry_space_group_name_H-M 'C 1 2/m 1'
_symmetry_Int_Tables_number 12
_symmetry_space_group_name_Hall '-C 2y'
_cell_length_a 6.1485
_cell_length_b 10.9394
_cell_length_c 8.6340
_cell_angle_alpha 90.00
_cell_angle_beta 102.04
_cell_angle_gamma 90.00
loop_
_atom_site_label
_atom_site_fract_x
_atom_site_fract_y
_atom_site_fract_z
Ta1 0.0000 0.0000 0.0000
Nb1 0.0000 0.3665 0.0000
Tl1 0.0000 0.1805 0.5000
Se1 0.2159 0.1716 0.1812
Se2 0.2434 0.5000 0.2146
# Magnetic moment = 0.0 μB per cell
# Formation energy (no corrections) = -0.679 eV/atom
# Calculated density = 7.3 g cm⁻³

=====

# Y6GaTe3S2, relaxed, DFT PBE-GGA
data_Y6GaTe3S2
_symmetry_space_group_name_H-M 'C 1 2/m 1'
_symmetry_Int_Tables_number 12
_symmetry_space_group_name_Hall '-C 2y'
_cell_length_a 7.1689
_cell_length_b 12.3896
_cell_length_c 7.4582
_cell_angle_alpha 90.00
_cell_angle_beta 108.61
_cell_angle_gamma 90.00
loop_
_atom_site_label
_atom_site_fract_x
_atom_site_fract_y
_atom_site_fract_z
Y1 0.2363 0.0000 0.2129
Y2 0.2384 0.3327 0.2146
Ga1 0.0000 0.5000 0.0000
Te1 0.0000 0.0000 0.5000
Te2 0.0000 0.3339 0.5000
S1 0.0000 0.1667 0.0000
# Magnetic moment = 0.0 μB per cell
# Formation energy (no corrections) = -1.471 eV/atom
# Calculated density = 5.6 g cm⁻³

=====

# Ca2PrHoAu4, relaxed, DFT PBE-GGA
data_Ca2PrHoAu4
_symmetry_space_group_name_H-M 'R -3 m'
_symmetry_Int_Tables_number 166
_symmetry_space_group_name_Hall '-R 3 2"'
_cell_length_a 5.1429
_cell_length_b 5.1429
_cell_length_c 25.2963
_cell_angle_alpha 90.00
_cell_angle_beta 90.00
_cell_angle_gamma 120.00
loop_
_atom_site_label
_atom_site_fract_x
_atom_site_fract_y
_atom_site_fract_z
Ca1 0.0000 0.0000 0.2492
Pr1 0.0000 0.0000 0.0000
Ho1 0.0000 0.0000 0.5000
Au1 0.0000 0.0000 0.1276
Au2 0.0000 0.0000 0.3794
# Magnetic moment = 0.0 μB per cell
# ΔE_f = -0.8050 eV/atom
# Calculated density = 10.1 g cm⁻³

=====

# MnInIr, relaxed, DFT PBE-GGA
data_MnInIr
_symmetry_space_group_name_H-M 'P 3 m 1'
_symmetry_Int_Tables_number 156
_symmetry_space_group_name_Hall 'P 3 -2"'
_cell_length_a 4.4073
_cell_length_b 4.4073
_cell_length_c 2.9633
_cell_angle_alpha 90.00
_cell_angle_beta 90.00
_cell_angle_gamma 120.00
loop_
_atom_site_label
_atom_site_fract_x
_atom_site_fract_y
_atom_site_fract_z
Mn1 0.0000 0.0000 0.0000
In1 0.6667 0.3333 0.3748
Ir1 0.3333 0.6667 0.7718
# Magnetic moment = 4.1 μB per cell
# ΔE_f = 0.0799 eV/atom
# Calculated density = 12.1 g cm⁻³

=====

# Pm2Tm5Tl, relaxed, DFT PBE-GGA
data_Pm2Tm5Tl
_symmetry_space_group_name_H-M 'P b a m'
_symmetry_Int_Tables_number 55
_symmetry_space_group_name_Hall '-P 2 2ab'
_cell_length_a 6.9854
_cell_length_b 13.9947
_cell_length_c 4.9101
_cell_angle_alpha 90.00
_cell_angle_beta 90.00
_cell_angle_gamma 90.00
loop_
_atom_site_label
_atom_site_fract_x
_atom_site_fract_y
_atom_site_fract_z
Pm1 0.2440 0.1295 0.0000
Tm1 0.0000 0.0000 0.5000
Tm2 0.0060 0.2563 0.5000
Tm3 0.2440 0.8765 0.0000
Tl1 0.0000 0.5000 0.5000
# Magnetic moment = 0.0 μB per cell
# ΔE_f = -0.0580 eV/atom
# Calculated density = 9.3 g cm⁻³
# Distance to the lowest polymorph of the same formula = 0 meV per atom

=====

# Li3PaBr8, relaxed, DFT PBE-GGA
data_Li3PaBr8
_symmetry_space_group_name_H-M 'C 1 2/m 1'
_symmetry_Int_Tables_number 12
_symmetry_space_group_name_Hall '-C 2y'
_cell_length_a 14.1400
_cell_length_b 8.1645
_cell_length_c 8.3367
_cell_angle_alpha 90.00
_cell_angle_beta 124.67
_cell_angle_gamma 90.00
loop_
_atom_site_label
_atom_site_fract_x
_atom_site_fract_y
_atom_site_fract_z
Li1 0.0000 0.0000 0.0000
Li2 0.2500 0.2500 0.0000
Pa1 0.0000 0.5000 0.0000
Br1 0.0017 0.2676 0.2361
Br2 0.2212 0.0000 0.1625
Br3 0.2342 0.5000 0.2361
# Magnetic moment = 0.0 μB per cell
# Formation energy (no corrections) = -1.437 eV/atom
# Calculated density = 3.7 g cm⁻³

=====

# CaMoRh2, relaxed, DFT PBE-GGA
data_CaMoRh2
_symmetry_space_group_name_H-M 'C 1 m 1'
_symmetry_Int_Tables_number 8
_symmetry_space_group_name_Hall 'C -2y'
_cell_length_a 10.2233
_cell_length_b 2.8481
_cell_length_c 4.8169
_cell_angle_alpha 90.00
_cell_angle_beta 103.55
_cell_angle_gamma 90.00
loop_
_atom_site_label
_atom_site_fract_x
_atom_site_fract_y
_atom_site_fract_z
Ca1 0.0000 0.0000 0.0000
Mo1 0.2896 0.5000 0.3683
Rh1 0.0165 0.5000 0.5028
Rh2 0.2388 0.0000 0.8263
# Magnetic moment = 0.0 μB per cell
# ΔE_f = 0.0357 eV/atom
# Calculated density = 8.3 g cm⁻³
# Distance to the lowest polymorph of the same formula = 178 meV per atom

=====

# YZrMo4, relaxed, DFT PBE-GGA
data_YZrMo4
_symmetry_space_group_name_H-M 'F -4 3 m'
_symmetry_Int_Tables_number 216
_symmetry_space_group_name_Hall 'F -4 2 3'
_cell_length_a 7.7113
_cell_length_b 7.7113
_cell_length_c 7.7113
_cell_angle_alpha 90.00
_cell_angle_beta 90.00
_cell_angle_gamma 90.00
loop_
_atom_site_label
_atom_site_fract_x
_atom_site_fract_y
_atom_site_fract_z
Y1 0.0000 0.0000 0.0000
Zr1 0.2500 0.2500 0.7500
Mo1 0.1251 0.1251 0.3749
# Magnetic moment = 0.0 μB per cell
# ΔE_f = -0.0197 eV/atom
# Calculated density = 8.2 g cm⁻³

=====

# LiMg3Bi3, relaxed, DFT PBE-GGA
data_LiMg3Bi3
_symmetry_space_group_name_H-M 'C 1 2/m 1'
_symmetry_Int_Tables_number 12
_symmetry_space_group_name_Hall '-C 2y'
_cell_length_a 16.1618
_cell_length_b 6.4227
_cell_length_c 9.8330
_cell_angle_alpha 90.00
_cell_angle_beta 127.42
_cell_angle_gamma 90.00
loop_
_atom_site_label
_atom_site_fract_x
_atom_site_fract_y
_atom_site_fract_z
Li1 0.1662 0.0000 0.4164
Mg1 0.0000 0.2448 0.0000
Mg2 0.0000 0.2449 0.5000
Mg3 0.1479 0.5000 0.8979
Bi1 0.0810 0.5000 0.3313
Bi2 0.2496 0.2496 0.2297
# Magnetic moment = 0.0 μB per cell
# ΔE_f = -0.0866 eV/atom
# Calculated density = 5.8 g cm⁻³

=====

# Sc2SiNi, relaxed, DFT PBE-GGA
data_Sc2SiNi
_symmetry_space_group_name_H-M 'P m m 2'
_symmetry_Int_Tables_number 25
_symmetry_space_group_name_Hall 'P 2 -2'
_cell_length_a 3.1998
_cell_length_b 4.1441
_cell_length_c 5.4934
_cell_angle_alpha 90.00
_cell_angle_beta 90.00
_cell_angle_gamma 90.00
loop_
_atom_site_label
_atom_site_fract_x
_atom_site_fract_y
_atom_site_fract_z
Sc1 0.0000 0.0000 0.0000
Sc2 0.5000 0.5000 0.3547
Si1 0.0000 0.0000 0.5066
Ni1 0.5000 0.5000 0.8619
# Magnetic moment = 0.0 μB per cell
# Formation energy (no corrections) = -0.279 eV/atom
# Calculated density = 4.0 g cm⁻³

=====

# Nd2TlBiO5, relaxed, DFT PBE-GGA
data_Nd2TlBiO5
_symmetry_space_group_name_H-M 'P 4/m b m'
_symmetry_Int_Tables_number 127
_symmetry_space_group_name_Hall '-P 4 2ab'
_cell_length_a 6.9115
_cell_length_b 6.9115
_cell_length_c 6.5466
_cell_angle_alpha 90.00
_cell_angle_beta 90.00
_cell_angle_gamma 90.00
loop_
_atom_site_label
_atom_site_fract_x
_atom_site_fract_y
_atom_site_fract_z
Nd1 0.1759 0.3241 0.0000
Tl1 0.0000 0.0000 0.5000
Bi1 0.0000 0.5000 0.5000
O1 0.0000 0.0000 0.0000
O2 0.1425 0.6425 0.2269
# Magnetic moment = 0.0 μB per cell
# Formation energy (no corrections) = -2.044 eV/atom
# Calculated density = 8.3 g cm⁻³